Compound: Tb4Dy8Er3
Source: Alexandria via LeMat-Bulk
Functional: PBE
Structure: optimized geometry

Cell: 12.340 12.340 12.340 Å, 32.39 32.39 32.39°
Positions (direct):
Tb: 0.000 0.000 0.000
Tb: 0.164 0.164 0.164
Tb: 0.500 0.500 0.500
Tb: 0.836 0.836 0.836
Dy: 0.250 0.250 0.747
Dy: 0.250 0.747 0.250
Dy: 0.253 0.750 0.750
Dy: 0.255 0.255 0.255
Dy: 0.745 0.745 0.745
Dy: 0.747 0.250 0.250
Dy: 0.750 0.253 0.750
Dy: 0.750 0.750 0.253
Er: 0.000 0.500 0.500
Er: 0.500 0.000 0.500
Er: 0.500 0.500 0.000

Computed properties:
The energy above the most stable polymorph in this dataset comes out at 0.00 kcal/mol of atoms. The total magnetic moment comes out at 0.0 μB per formula unit. The energy of formation from the pure elements is 139.7 meV/atom.